Record 1
This record from the Alexandria database describes a geometry-optimized PrBeCoSi2 structure. The functional is PBE-GGA.

a b c (Å): 3.965 3.965 5.708
angles (deg): 110.32 110.32 90.00
Last column: magnetic moment on the atom in μB.
Fractional positions:
Co  0.750  0.250  0.500  0.33
Be  0.250  0.750  0.500  0.00
Si  0.629  0.629  0.259  0.00
Si  0.371  0.371  0.741  0.00
Pr  0.000  0.000  0.000  0.01

Output
The raw formation energy is -0.568 eV per atom.

=====

Record 2
This record from the Alexandria database describes a geometry-optimized Be3CoPt structure. The functional is PBE-GGA.

a b c (Å): 3.845 3.845 3.845
angles (deg): 90.00 90.00 90.00
Fractional positions:
Co  0.000  0.000  0.000
Be  0.500  0.000  0.000
Be  0.000  0.500  0.000
Be  0.000  0.000  0.500
Pt  0.500  0.500  0.500

Output
The value obtained for the relative energy among the computed polymorphs is 0.000 eV per atom. The formation energy is 0.355 eV per atom.

=====

Record 3
This record from the Alexandria database describes a geometry-optimized BeCo2Pt2 structure. The functional is PBE-GGA.

a b c (Å): 6.093 6.093 6.093
angles (deg): 144.44 144.44 51.18
Last column: magnetic moment on the atom in μB.
Fractional positions:
Pt  0.250  0.750  0.500  0.38
Pt  0.750  0.250  0.500  0.38
Co  0.596  0.596  0.000  1.82
Co  0.404  0.404  0.000  1.82
Be  0.000  0.000  0.000  -0.04

Output
The value obtained for the relative energy among the computed polymorphs is 0.538 eV per atom. The formation energy is 0.500 eV per atom.

=====

Record 4
This record from the Alexandria database describes a geometry-optimized BeCoPt2 structure. The functional is PBE-GGA.

a b c (Å): 4.726 4.726 4.357
angles (deg): 71.58 71.58 33.60
Last column: magnetic moment on the atom in μB.
Fractional positions:
Pt  0.990  0.990  0.043  0.23
Pt  0.775  0.775  0.690  0.21
Co  0.227  0.227  0.227  1.69
Be  0.508  0.508  0.540  -0.02

Output
The formation energy is -0.286 eV per atom.

=====

Record 5
This record from the Alexandria database describes a geometry-optimized Be6Co5Pt structure. The functional is PBE-GGA.

a b c (Å): 3.727 5.293 5.911
angles (deg): 90.00 108.46 90.00
Last column: magnetic moment on the atom in μB.
Fractional positions:
Co  0.000  0.500  0.000  0.21
Co  0.672  0.000  0.344  0.56
Co  0.668  0.500  0.335  0.36
Co  0.332  0.500  0.665  0.36
Co  0.328  0.000  0.656  0.56
Be  0.170  0.262  0.339  -0.02
Be  0.830  0.262  0.661  -0.02
Be  0.500  0.733  0.000  -0.01
Be  0.170  0.738  0.339  -0.02
Be  0.830  0.738  0.661  -0.02
Be  0.500  0.267  0.000  -0.01
Pt  0.000  0.000  0.000  0.01

Output
The formation energy is -0.389 eV per atom.

=====

Record 6
This record from the Alexandria database describes a geometry-optimized BeCoPt2 structure. The functional is PBE-GGA.

a b c (Å): 2.707 3.608 5.351
angles (deg): 90.00 90.00 90.00
Last column: magnetic moment on the atom in μB.
Fractional positions:
Co  0.500  0.500  0.754  1.75
Pt  0.000  0.000  0.962  0.35
Pt  0.500  0.500  0.292  0.10
Be  0.000  0.000  0.492  -0.02

Output
The formation energy is -0.229 eV per atom.

=====

Record 7
This record from the Alexandria database describes a geometry-optimized Be3CoPt2 structure. The functional is PBE-GGA.

a b c (Å): 2.773 2.773 8.242
angles (deg): 90.00 90.00 90.00
Fractional positions:
Co  0.500  0.500  0.500
Pt  0.500  0.500  0.176
Pt  0.500  0.500  0.824
Be  0.000  0.000  0.640
Be  0.000  0.000  0.000
Be  0.000  0.000  0.360

Output
The formation energy is -0.641 eV per atom.

=====

Record 8
This record from the Alexandria database describes a geometry-optimized BeCo2Pt structure. The functional is PBE-GGA.

a b c (Å): 3.345 3.345 9.178
angles (deg): 79.50 79.50 90.00
Last column: magnetic moment on the atom in μB.
Fractional positions:
Co  0.150  0.625  0.250  1.74
Co  0.375  0.400  0.750  1.78
Co  0.875  0.850  0.750  1.78
Co  0.600  0.125  0.250  1.75
Pt  0.750  0.250  0.500  0.16
Pt  0.000  0.000  0.000  0.16
Be  0.250  0.750  0.500  -0.02
Be  0.500  0.500  0.000  -0.02

Output
The formation energy is 0.119 eV per atom.

=====

Number 1: magnetic moment 0.4 μB/cell, energy -0.2153 hartree per atom, D(E_F) 3.3 states/eV/cell. Number 2: magnetic moment 0.0 μB/cell, energy -0.1658 hartree per atom, D(E_F) 2.5 states/eV/cell. Number 3: magnetic moment 4.3 μB/cell, energy -0.2023 hartree per atom, D(E_F) 4.8 states/eV/cell. Number 4: magnetic moment 2.1 μB/cell, energy -0.2210 hartree per atom, D(E_F) 4.0 states/eV/cell. Number 5: magnetic moment 1.9 μB/cell, energy -0.2101 hartree per atom, D(E_F) 11.0 states/eV/cell. Number 6: magnetic moment 2.1 μB/cell, energy -0.2189 hartree per atom, D(E_F) 3.3 states/eV/cell. Number 7: magnetic moment 0.0 μB/cell, energy -0.2096 hartree per atom, D(E_F) 1.2 states/eV/cell. Number 8: magnetic moment 7.3 μB/cell, energy -0.2159 hartree per atom, D(E_F) 8.1 states/eV/cell.